LiFePb2: relaxed, GGA-PBE.

ΔE_f, eV/atom: 0.456
Density of states at the Fermi level, states/eV per atom: 0.97
Spin magnetization, μB/atom: 0.761
V, Å³/atom: 24.21

Cell lengths 4.577, 4.577, 18.491 Å; angles 90.00, 90.00, 90.00 degrees
Space group I-42d (No. 122)
Symmetry-distinct sites (fractional):
Li: 0.000 0.000 0.000
Fe: 0.000 0.000 0.500
Pb: 0.243 0.250 0.625